Ba2ZrAs | PBE | relaxed

a = 3.913 Å, b = 3.913 Å, c = 9.579 Å
α = 90.00°, β = 90.00°, γ = 90.00°
Each line ends with the local moment (μB).
Sites, in units of the cell vectors:
Zr 0.500 0.500 0.250  1.40
As 0.500 0.500 0.750  0.10
Ba 0.000 0.000 0.944  0.09
Ba 0.000 0.000 0.556  0.09

As for the energy of formation from the pure elements: 0.041 eV per atom. The value obtained for the density of states at the Fermi level is 3.5 states/eV/f.u. As for the mass density: 4.990 Mg/m³.



KWAu2 | PBE | relaxed

a = 4.936 Å, b = 4.936 Å, c = 4.936 Å
α = 60.00°, β = 60.00°, γ = 60.00°
Each line ends with the local moment (μB).
Sites, in units of the cell vectors:
Au 0.000 0.000 0.000  0.12
K 0.500 0.500 0.500  0.05
W 0.750 0.750 0.750  2.62
Au 0.250 0.250 0.250  0.01

As for the energy of formation from the pure elements: 1.291 eV per atom. The value obtained for the density of states at the Fermi level is 5.4 states/eV/f.u. As for the mass density: 12.045 Mg/m³. The calculation puts the relative energy among the computed polymorphs at 910 meV per atom.



LiLa2UTe5 | PBE | relaxed

a = 4.465 Å, b = 9.714 Å, c = 13.401 Å
α = 90.00°, β = 90.00°, γ = 103.29°
Each line ends with the local moment (μB).
Sites, in units of the cell vectors:
Te 0.503 0.005 0.277  0.01
Te 0.688 0.376 0.848  0.03
Te 0.714 0.428 0.171  0.03
U 0.199 0.397 0.011  -2.59
La 0.874 0.747 0.805  -0.04
Te 0.497 0.995 0.777  0.01
La 0.109 0.217 0.686  -0.03
U 0.801 0.603 0.511  -2.59
Te 0.363 0.727 0.001  0.02
Te 0.286 0.572 0.671  0.03
Li 0.556 0.113 0.957  0.00
Te 0.312 0.624 0.348  0.03
Te 0.047 0.094 0.067  0.04
La 0.891 0.783 0.186  -0.03
Li 0.444 0.887 0.457  0.00
Te 0.953 0.906 0.567  0.04
La 0.126 0.253 0.305  -0.04
Te 0.637 0.273 0.501  0.02

The calculation puts the formation energy from raw total energies at -1185 meV/atom. The value obtained for the density of states at the Fermi level is 7.5 states/eV/f.u. As for the mass density: 6.814 Mg/m³.



Rb12Na3S5 | PBE | relaxed

a = 18.446 Å, b = 18.446 Å, c = 18.446 Å
α = 109.47°, β = 109.47°, γ = 109.47°
Sites, in units of the cell vectors:
Rb 0.993 0.594 0.181
Rb 0.493 0.812 0.899
S 0.500 0.000 0.000
Rb 0.087 0.906 0.399
S 0.500 0.000 0.500
S 0.500 0.500 0.000
Rb 0.188 0.681 0.087
Na 0.250 0.625 0.875
Rb 0.181 0.094 0.993
Rb 0.507 0.319 0.906
S 0.625 0.875 0.250
Rb 0.087 0.181 0.188
S 0.250 0.375 0.625
Rb 0.688 0.587 0.181
Na 0.875 0.125 0.250
Na 0.375 0.625 0.250
Rb 0.507 0.188 0.101
Rb 0.913 0.819 0.812
Rb 0.406 0.399 0.587
Rb 0.587 0.688 0.681
Na 0.750 0.375 0.125
Rb 0.413 0.312 0.319
Rb 0.094 0.913 0.101
Rb 0.101 0.413 0.094
Rb 0.819 0.906 0.007
S 0.125 0.750 0.375
S 0.375 0.250 0.125
Rb 0.993 0.399 0.312
Na 0.125 0.875 0.750
S 0.000 0.000 0.000
S 0.625 0.750 0.875
Rb 0.688 0.101 0.007
Rb 0.819 0.913 0.312
Rb 0.899 0.312 0.493
Na 0.625 0.375 0.750
Rb 0.601 0.594 0.913
Rb 0.312 0.899 0.993
Rb 0.094 0.181 0.493
Rb 0.181 0.087 0.688
Rb 0.812 0.319 0.913
Na 0.875 0.750 0.125
S 0.125 0.375 0.250
Rb 0.007 0.406 0.819
S 0.250 0.875 0.125
Rb 0.812 0.493 0.399
Rb 0.101 0.688 0.507
S 0.000 0.500 0.500
Rb 0.681 0.493 0.594
S 0.500 0.500 0.500
Rb 0.188 0.507 0.601
S 0.000 0.000 0.500
S 0.000 0.500 0.000
Rb 0.413 0.101 0.594
S 0.875 0.625 0.750
Rb 0.319 0.507 0.406
Na 0.125 0.250 0.875
Rb 0.406 0.007 0.319
Rb 0.681 0.188 0.587
Rb 0.906 0.087 0.899
Na 0.625 0.250 0.375
Rb 0.312 0.413 0.819
Rb 0.493 0.681 0.094
Rb 0.007 0.601 0.688
Na 0.375 0.750 0.625
Rb 0.899 0.587 0.906
Rb 0.587 0.899 0.406
Rb 0.906 0.819 0.507
S 0.750 0.125 0.875
Na 0.750 0.875 0.625
S 0.375 0.125 0.750
Rb 0.399 0.993 0.812
S 0.875 0.250 0.625
S 0.750 0.625 0.375
Rb 0.399 0.406 0.087
Rb 0.913 0.094 0.601
Rb 0.594 0.993 0.681
Na 0.250 0.125 0.375
Rb 0.601 0.007 0.188
Rb 0.319 0.812 0.413
Rb 0.594 0.601 0.413

The calculation puts the formation energy from raw total energies at -543 meV/atom. The value obtained for the density of states at the Fermi level is 10.1 states/eV/f.u. As for the mass density: 1.725 Mg/m³.



SrAc4Ag4 | PBE | relaxed

a = 6.380 Å, b = 10.282 Å, c = 10.282 Å
α = 90.00°, β = 90.00°, γ = 90.00°
Sites, in units of the cell vectors:
Ag 0.389 0.360 0.225
Ac 0.896 0.408 0.164
Ac 0.104 0.836 0.408
Ag 0.389 0.640 0.775
Ag 0.889 0.725 0.140
Ag 0.111 0.860 0.725
Ag 0.611 0.225 0.640
Ag 0.111 0.140 0.275
Ac 0.396 0.664 0.092
Ag 0.611 0.775 0.360
Ac 0.604 0.908 0.664
Sr 0.500 0.500 0.500
Ac 0.104 0.164 0.592
Ag 0.889 0.275 0.860
Ac 0.604 0.092 0.336
Sr 0.000 0.000 0.000
Ac 0.896 0.592 0.836
Ac 0.396 0.336 0.908

As for the energy of formation from the pure elements: -0.109 eV per atom. The value obtained for the density of states at the Fermi level is 10.5 states/eV/f.u. As for the mass density: 7.027 Mg/m³.



LiRu4W | PBE | relaxed

a = 5.043 Å, b = 5.043 Å, c = 5.043 Å
α = 60.00°, β = 60.00°, γ = 60.00°
Sites, in units of the cell vectors:
W 0.250 0.250 0.250
Ru 0.625 0.625 0.124
Ru 0.625 0.625 0.625
Ru 0.124 0.625 0.625
Ru 0.625 0.124 0.625
Li 0.000 0.000 0.000

As for the energy of formation from the pure elements: 0.380 eV per atom. The value obtained for the density of states at the Fermi level is 7.3 states/eV/f.u. As for the mass density: 10.894 Mg/m³.



TiTcW2I | PBE | relaxed

a = 4.839 Å, b = 4.709 Å, c = 4.839 Å
α = 90.00°, β = 90.00°, γ = 90.00°
Sites, in units of the cell vectors:
W 0.500 0.000 0.000
W 0.000 0.000 0.500
I 0.000 0.000 0.000
Ti 0.500 0.500 0.500
Tc 0.000 0.500 0.000

The calculation puts the formation energy from raw total energies at 2358 meV/atom. The value obtained for the density of states at the Fermi level is 3.5 states/eV/f.u. As for the mass density: 9.645 Mg/m³.



PaNiPbN3 | PBE | relaxed

a = 3.641 Å, b = 7.953 Å, c = 7.105 Å
α = 101.94°, β = 90.00°, γ = 90.00°
Sites, in units of the cell vectors:
N 0.250 0.183 0.914
N 0.250 0.520 0.843
Pa 0.750 0.328 0.849
Pb 0.750 0.767 0.751
Ni 0.750 0.956 0.347
N 0.750 0.098 0.594
N 0.750 0.817 0.086
Pa 0.250 0.672 0.151
Pb 0.250 0.233 0.249
N 0.250 0.902 0.406
N 0.750 0.480 0.157
Ni 0.250 0.044 0.653

The calculation puts the formation energy from raw total energies at -457 meV/atom. The value obtained for the density of states at the Fermi level is 0.9 states/eV/f.u. As for the mass density: 8.893 Mg/m³.



CrNi2W | PBE | relaxed

a = 4.391 Å, b = 4.391 Å, c = 2.703 Å
α = 90.00°, β = 90.00°, γ = 90.00°
Each line ends with the local moment (μB).
Sites, in units of the cell vectors:
Cr 0.000 0.500 0.500  2.74
Ni 0.000 0.000 0.000  0.24
W 0.500 0.000 0.500  -0.07
Ni 0.500 0.500 0.000  0.24

As for the energy of formation from the pure elements: 0.250 eV per atom. The value obtained for the density of states at the Fermi level is 4.7 states/eV/f.u. As for the mass density: 11.257 Mg/m³. The calculation puts the relative energy among the computed polymorphs at 221 meV per atom.



W4C5 | PBE | relaxed

a = 5.863 Å, b = 5.863 Å, c = 5.863 Å
α = 93.64°, β = 93.64°, γ = 150.82°
Sites, in units of the cell vectors:
C 0.679 0.321 0.000
W 0.264 0.000 0.264
C 0.321 0.679 0.000
C 0.679 0.679 0.358
C 0.321 0.321 0.642
W 0.000 0.264 0.264
W 0.736 0.000 0.736
C 0.000 0.000 0.000
W 0.000 0.736 0.736

As for the energy of formation from the pure elements: 1.060 eV per atom. The value obtained for the density of states at the Fermi level is 4.9 states/eV/f.u. As for the mass density: 13.891 Mg/m³. The calculation puts the relative energy among the computed polymorphs at 320 meV per atom.



CuSiPS2 | PBE | relaxed

a = 4.472 Å, b = 4.472 Å, c = 4.561 Å
α = 90.00°, β = 90.00°, γ = 90.00°
Each line ends with the local moment (μB).
Sites, in units of the cell vectors:
S 0.500 0.000 0.000  0.03
S 0.000 0.500 0.000  0.03
Si 0.000 0.000 0.000  0.00
P 0.000 0.000 0.500  0.09
Cu 0.500 0.500 0.500  0.02

The calculation puts the formation energy from raw total energies at 690 meV/atom. The value obtained for the density of states at the Fermi level is 4.4 states/eV/f.u. As for the mass density: 3.399 Mg/m³. The calculation puts the relative energy among the computed polymorphs at 0 meV per atom.



LiGa6Rh3 | PBE | relaxed

a = 6.968 Å, b = 5.037 Å, c = 5.037 Å
α = 94.94°, β = 74.70°, γ = 74.70°
Sites, in units of the cell vectors:
Rh 0.000 0.000 0.000
Ga 0.680 0.914 0.295
Ga 0.320 0.705 0.086
Ga 0.095 0.623 0.623
Rh 0.318 0.219 0.219
Ga 0.680 0.295 0.914
Ga 0.905 0.377 0.377
Rh 0.682 0.781 0.781
Ga 0.320 0.086 0.705
Li 0.500 0.500 0.500

As for the energy of formation from the pure elements: -0.463 eV per atom. The value obtained for the density of states at the Fermi level is 2.6 states/eV/f.u. As for the mass density: 7.516 Mg/m³. The calculation puts the relative energy among the computed polymorphs at 26 meV per atom.



Among the records above, which one has the lowest mass density? Rb12Na3S5



Repeat the seventh record exactly.
TiTcW2I | PBE | relaxed

a = 4.839 Å, b = 4.709 Å, c = 4.839 Å
α = 90.00°, β = 90.00°, γ = 90.00°
Sites, in units of the cell vectors:
W 0.500 0.000 0.000
W 0.000 0.000 0.500
I 0.000 0.000 0.000
Ti 0.500 0.500 0.500
Tc 0.000 0.500 0.000

The calculation puts the formation energy from raw total energies at 2358 meV/atom. The value obtained for the density of states at the Fermi level is 3.5 states/eV/f.u. As for the mass density: 9.645 Mg/m³.



mass density of number 7 (TiTcW2I)? 9.645 Mg/m³